This record from Alexandria describes a PBEsol-optimized structure of Mg2FeSiPd. The functional is meta-GGA SCAN.

a = 4.780 Å, b = 4.780 Å, c = 4.217 Å
α = 90.00°, β = 90.00°, γ = 90.00°
Space group P4/mmm (No. 123)
One atom of each set of equivalent atoms:
Mg 0.000 0.500 0.000 (multiplicity 2)
Fe 0.000 0.000 0.500 (multiplicity 1)
Si 0.000 0.000 0.000 (multiplicity 1)
Pd 0.500 0.500 0.500 (multiplicity 1)

Output
- energy relative to the elements, uncorrected (eV/atom) = 0.48
- total magnetic moment (μB per atom) = 0.51



This record from Alexandria describes a PBEsol-optimized structure of LaPS2Cl. The functional is meta-GGA SCAN.

a = 5.538 Å, b = 5.538 Å, c = 5.349 Å
α = 90.00°, β = 90.00°, γ = 90.00°
Space group P4/mmm (No. 123)
One atom of each set of equivalent atoms:
La 0.000 0.000 0.000 (multiplicity 1)
P 0.500 0.500 0.500 (multiplicity 1)
S 0.000 0.500 0.000 (multiplicity 2)
Cl 0.000 0.000 0.500 (multiplicity 1)

Output
- polymorph energy (0 for the lowest one) (eV per atom) = 0.000
- energy relative to the elements, uncorrected (eV/atom) = -0.30
- total magnetic moment (μB per atom) = 0.20



This record from Alexandria describes a PBEsol-optimized structure of Zn2FeCl. The functional is meta-GGA SCAN.

a = 3.640 Å, b = 4.409 Å, c = 7.348 Å
α = 90.00°, β = 90.00°, γ = 90.00°
Space group Cmmm (No. 65)
One atom of each set of equivalent atoms:
Zn 0.000 0.000 0.226 (multiplicity 4)
Fe 0.000 0.500 0.000 (multiplicity 2)
Cl 0.000 0.500 0.500 (multiplicity 2)

Output
- polymorph energy (0 for the lowest one) (eV per atom) = 0.000
- energy relative to the elements, uncorrected (eV/atom) = 0.03
- total magnetic moment (μB per atom) = 0.60



This record from Alexandria describes a PBEsol-optimized structure of MnNbSiC2. The functional is meta-GGA SCAN.

a = 3.694 Å, b = 3.694 Å, c = 4.921 Å
α = 90.00°, β = 90.00°, γ = 90.00°
Space group P4/mmm (No. 123)
One atom of each set of equivalent atoms:
Mn 0.000 0.000 0.000 (multiplicity 1)
Nb 0.500 0.500 0.000 (multiplicity 1)
Si 0.500 0.500 0.500 (multiplicity 1)
C 0.000 0.500 0.500 (multiplicity 2)

Output
- energy relative to the elements, uncorrected (eV/atom) = 1.67
- total magnetic moment (μB per atom) = 0.54



This record from Alexandria describes a PBEsol-optimized structure of MgAlGa2. The functional is meta-GGA SCAN.

a = 6.593 Å, b = 6.593 Å, c = 6.593 Å
α = 90.00°, β = 90.00°, γ = 90.00°
Space group Fm-3m (No. 225)
One atom of each set of equivalent atoms:
Mg 0.000 0.000 0.000 (multiplicity 4)
Al 0.000 0.000 0.500 (multiplicity 4)
Ga 0.250 0.250 0.250 (multiplicity 8)

Output
- total magnetic moment (μB per atom) = 0.00
- ΔH_f (0 K) (eV per formula unit) = -0.21



This record from Alexandria describes a PBEsol-optimized structure of RbSr2Cl. The functional is meta-GGA SCAN.

a = 9.236 Å, b = 9.236 Å, c = 9.236 Å
α = 90.00°, β = 90.00°, γ = 90.00°
Space group Fm-3m (No. 225)
One atom of each set of equivalent atoms:
Rb 0.000 0.000 0.000 (multiplicity 4)
Sr 0.250 0.250 0.250 (multiplicity 8)
Cl 0.000 0.000 0.500 (multiplicity 4)

Output
- energy relative to the elements, uncorrected (eV/atom) = -0.20
- total magnetic moment (μB per atom) = 0.00